DFT (SCAN) results for a crystal of CoCuAs2N relaxed with PBEsol.

Mass density   5.549 g/cm3
D(E_F)   4.22 states/eV/f.u.
Calculated volume   17.14 Å³ per atom
Symmetry   P4/mmm (123)
Energy   -14.68 eV per atom
Formation energy without anion corrections   849 kJ/mol of formula units

Geometry as extended XYZ:
```
5
Lattice="-4.037 -0.689 -1.672 1.795 -1.028 -3.910 0.218 -4.204 1.206" Properties=species:S:1:pos:R:3 pbc="T T T"
As 0.898 -0.514 -1.955
As -2.018 -0.344 -0.836
Co 0.109 -2.102 0.603
Cu 0.000 0.000 0.000
N -1.012 -2.961 -2.188
```